*1*
## MnTlTc2 (PBE)

Data for a relaxed MnTlTc2 crystal.

a = 6.3900 Å, b = 6.3900 Å, c = 6.3900 Å
α = 90.00°, β = 90.00°, γ = 90.00°
Atoms (fractional coordinates):
Mn: 0.0000 0.0000 0.0000
Mn: 0.0000 0.5000 0.5000
Mn: 0.5000 0.0000 0.5000
Mn: 0.5000 0.5000 0.0000
Tl: 0.2500 0.2500 0.2500
Tl: 0.2500 0.7500 0.7500
Tl: 0.7500 0.2500 0.7500
Tl: 0.7500 0.7500 0.2500
Tc: 0.0000 0.0000 0.5000
Tc: 0.0000 0.5000 0.0000
Tc: 0.2500 0.2500 0.7500
Tc: 0.2500 0.7500 0.2500
Tc: 0.5000 0.0000 0.0000
Tc: 0.5000 0.5000 0.5000
Tc: 0.7500 0.2500 0.2500
Tc: 0.7500 0.7500 0.7500

Properties
The value obtained for the density of states at the Fermi level is 0.674 states/eV per atom.

*2*
## MnTlTc2 (PBE)

Data for a relaxed MnTlTc2 crystal.

a = 2.8311 Å, b = 2.8311 Å, c = 7.7640 Å
α = 90.00°, β = 90.00°, γ = 90.00°
Atoms (fractional coordinates):
Mn: 0.0000 0.0000 0.0000
Tl: 0.0000 0.0000 0.5000
Tc: 0.5000 0.5000 0.2066
Tc: 0.5000 0.5000 0.7934

Properties
The value obtained for the density of states at the Fermi level is 1.376 states/eV per atom.

*3*
## MnTlTc2 (PBE)

Data for a relaxed MnTlTc2 crystal.

a = 9.2223 Å, b = 3.0453 Å, c = 4.8006 Å
α = 90.00°, β = 103.52°, γ = 90.00°
Atoms (fractional coordinates):
Mn: 0.0000 0.0000 0.0000
Mn: 0.5000 0.5000 0.0000
Tl: 0.2393 0.0000 0.7411
Tl: 0.7393 0.5000 0.7411
Tc: 0.2451 0.5000 0.2476
Tc: 0.4777 0.0000 0.4256
Tc: 0.7451 0.0000 0.2476
Tc: 0.9777 0.5000 0.4256

Properties
The value obtained for the density of states at the Fermi level is 1.045 states/eV per atom.

Tell me which of them is the most stable. Sure, it is *2*.

*1*
## MnTlTc2 (PBE)

Data for a relaxed MnTlTc2 crystal.

a = 2.9693 Å, b = 2.9693 Å, c = 7.7344 Å
α = 90.00°, β = 90.00°, γ = 90.00°
Atoms (fractional coordinates):
Mn: 0.0000 0.0000 0.0000
Tl: 0.5000 0.5000 0.7122
Tc: 0.0000 0.0000 0.4228
Tc: 0.5000 0.5000 0.2303

Properties
The value obtained for the density of states at the Fermi level is 0.824 states/eV per atom.

*2*
## MnTlTc2 (PBE)

Data for a relaxed MnTlTc2 crystal.

a = 3.9251 Å, b = 3.9251 Å, c = 8.2615 Å
α = 90.00°, β = 90.00°, γ = 90.00°
Atoms (fractional coordinates):
Mn: 0.0000 0.0000 0.0000
Mn: 0.5000 0.5000 0.5000
Tl: 0.0000 0.0000 0.5000
Tl: 0.5000 0.5000 0.0000
Tc: 0.0000 0.5000 0.2500
Tc: 0.0000 0.5000 0.7500
Tc: 0.5000 0.0000 0.2500
Tc: 0.5000 0.0000 0.7500

Properties
The value obtained for the density of states at the Fermi level is 0.980 states/eV per atom.

Tell me which of them is the most stable. Sure, it is *1*.

*1*
## TmMnTc (PBE)

Data for a relaxed TmMnTc crystal.

a = 3.0975 Å, b = 3.0975 Å, c = 10.7883 Å
α = 90.00°, β = 90.00°, γ = 90.00°
Atoms (fractional coordinates):
Tm: 0.0000 0.0000 0.0000
Tm: 0.5000 0.5000 0.5000
Mn: 0.0000 0.0000 0.3056
Mn: 0.5000 0.5000 0.8056
Tc: 0.0000 0.0000 0.6956
Tc: 0.5000 0.5000 0.1956

Properties
The value obtained for the density of states at the Fermi level is 0.932 states/eV per atom.

*2*
## TmMnTc (PBE)

Data for a relaxed TmMnTc crystal.

a = 4.0086 Å, b = 11.2263 Å, c = 4.6821 Å
α = 90.00°, β = 90.00°, γ = 90.00°
Atoms (fractional coordinates):
Tm: 0.0000 0.0897 0.2500
Tm: 0.0000 0.9103 0.7500
Tm: 0.5000 0.4103 0.7500
Tm: 0.5000 0.5897 0.2500
Mn: 0.0000 0.2340 0.7500
Mn: 0.0000 0.7660 0.2500
Mn: 0.5000 0.2660 0.2500
Mn: 0.5000 0.7340 0.7500
Tc: 0.0000 0.3748 0.2500
Tc: 0.0000 0.6252 0.7500
Tc: 0.5000 0.1252 0.7500
Tc: 0.5000 0.8748 0.2500

Properties
The value obtained for the density of states at the Fermi level is 1.205 states/eV per atom.

*3*
## TmMnTc (PBE)

Data for a relaxed TmMnTc crystal.

a = 5.1421 Å, b = 5.3594 Å, c = 7.5108 Å
α = 90.00°, β = 90.00°, γ = 90.00°
Atoms (fractional coordinates):
Tm: 0.0000 0.2500 0.1230
Tm: 0.0000 0.7500 0.8770
Tm: 0.5000 0.2500 0.3770
Tm: 0.5000 0.7500 0.6230
Mn: 0.0000 0.0000 0.5000
Mn: 0.0000 0.5000 0.5000
Mn: 0.5000 0.0000 0.0000
Mn: 0.5000 0.5000 0.0000
Tc: 0.2500 0.2500 0.7500
Tc: 0.2500 0.7500 0.2500
Tc: 0.7500 0.2500 0.7500
Tc: 0.7500 0.7500 0.2500

Properties
The value obtained for the density of states at the Fermi level is 1.166 states/eV per atom.

Tell me which of them is the most stable. Sure, it is *3*.

*1*
## UMnTc (PBE)

Data for a relaxed UMnTc crystal.

a = 4.3619 Å, b = 4.3619 Å, c = 2.8124 Å
α = 90.00°, β = 90.00°, γ = 120.00°
Atoms (fractional coordinates):
U: 0.0000 0.0000 0.0000
Mn: 0.6667 0.3333 0.2235
Tc: 0.3333 0.6667 0.7214

Properties
The value obtained for the density of states at the Fermi level is 0.871 states/eV per atom.

*2*
## UMnTc (PBE)

Data for a relaxed UMnTc crystal.

a = 3.6177 Å, b = 3.6177 Å, c = 7.6584 Å
α = 90.00°, β = 90.00°, γ = 90.00°
Atoms (fractional coordinates):
U: 0.0000 0.0000 0.0000
U: 0.5000 0.5000 0.5000
Mn: 0.0000 0.0000 0.7101
Mn: 0.5000 0.5000 0.2101
Tc: 0.0000 0.0000 0.3139
Tc: 0.5000 0.5000 0.8139

Properties
The value obtained for the density of states at the Fermi level is 1.227 states/eV per atom.

Tell me which of them is the most stable. Sure, it is *2*.

*1*
## UMnTc2 (PBE)

Data for a relaxed UMnTc2 crystal.

a = 4.3790 Å, b = 4.3790 Å, c = 3.4020 Å
α = 90.00°, β = 90.00°, γ = 90.00°
Atoms (fractional coordinates):
U: 0.0000 0.0000 0.0000
Mn: 0.5000 0.5000 0.0000
Tc: 0.0000 0.5000 0.5000
Tc: 0.5000 0.0000 0.5000

Properties
The value obtained for the density of states at the Fermi level is 1.002 states/eV per atom.

*2*
## UMnTc2 (PBE)

Data for a relaxed UMnTc2 crystal.

a = 6.4104 Å, b = 6.4104 Å, c = 6.4104 Å
α = 90.00°, β = 90.00°, γ = 90.00°
Atoms (fractional coordinates):
U: 0.0000 0.0000 0.0000
U: 0.0000 0.5000 0.5000
U: 0.5000 0.0000 0.5000
U: 0.5000 0.5000 0.0000
Mn: 0.0000 0.0000 0.5000
Mn: 0.0000 0.5000 0.0000
Mn: 0.5000 0.0000 0.0000
Mn: 0.5000 0.5000 0.5000
Tc: 0.2500 0.2500 0.2500
Tc: 0.2500 0.2500 0.7500
Tc: 0.2500 0.7500 0.2500
Tc: 0.2500 0.7500 0.7500
Tc: 0.7500 0.2500 0.2500
Tc: 0.7500 0.2500 0.7500
Tc: 0.7500 0.7500 0.2500
Tc: 0.7500 0.7500 0.7500

Properties
The value obtained for the density of states at the Fermi level is 1.543 states/eV per atom.

Tell me which of them is the most stable. Sure, it is *1*.

*1*
## Mn2TcW (PBE)

Data for a relaxed Mn2TcW crystal.

a = 8.9257 Å, b = 2.7084 Å, c = 4.5573 Å
α = 90.00°, β = 101.81°, γ = 90.00°
Atoms (fractional coordinates):
Mn: 0.0000 0.0000 0.0000
Mn: 0.2305 0.5000 0.2456
Mn: 0.5000 0.5000 0.0000
Mn: 0.7305 0.0000 0.2456
Tc: 0.4738 0.0000 0.4667
Tc: 0.9738 0.5000 0.4667
W: 0.2433 0.0000 0.7585
W: 0.7433 0.5000 0.7585

Properties
The value obtained for the density of states at the Fermi level is 1.091 states/eV per atom.

*2*
## Mn2TcW (PBE)

Data for a relaxed Mn2TcW crystal.

a = 6.0241 Å, b = 6.0241 Å, c = 6.0241 Å
α = 90.00°, β = 90.00°, γ = 90.00°
Atoms (fractional coordinates):
Mn: 0.0000 0.0000 0.0000
Mn: 0.0000 0.5000 0.5000
Mn: 0.2500 0.2500 0.2500
Mn: 0.2500 0.7500 0.7500
Mn: 0.5000 0.0000 0.5000
Mn: 0.5000 0.5000 0.0000
Mn: 0.7500 0.2500 0.7500
Mn: 0.7500 0.7500 0.2500
Tc: 0.2500 0.2500 0.7500
Tc: 0.2500 0.7500 0.2500
Tc: 0.7500 0.2500 0.2500
Tc: 0.7500 0.7500 0.7500
W: 0.0000 0.0000 0.5000
W: 0.0000 0.5000 0.0000
W: 0.5000 0.0000 0.0000
W: 0.5000 0.5000 0.5000

Properties
The value obtained for the density of states at the Fermi level is 1.115 states/eV per atom.

Tell me which of them is the most stable. Sure, it is *2*.

*1*
## Mn2TcW (PBE)

Data for a relaxed Mn2TcW crystal.

a = 3.1572 Å, b = 4.2141 Å, c = 8.2147 Å
α = 90.00°, β = 90.00°, γ = 90.00°
Atoms (fractional coordinates):
Mn: 0.0000 0.0000 0.2493
Mn: 0.0000 0.0000 0.7507
Mn: 0.5000 0.5000 0.2507
Mn: 0.5000 0.5000 0.7493
Tc: 0.0000 0.5000 0.0000
Tc: 0.5000 0.0000 0.5000
W: 0.0000 0.5000 0.5000
W: 0.5000 0.0000 0.0000

Properties
The value obtained for the density of states at the Fermi level is 0.960 states/eV per atom.

*2*
## Mn2TcW (PBE)

Data for a relaxed Mn2TcW crystal.

a = 3.1823 Å, b = 4.2177 Å, c = 8.1510 Å
α = 90.00°, β = 90.00°, γ = 90.00°
Atoms (fractional coordinates):
Mn: 0.0000 0.0000 0.2452
Mn: 0.0000 0.0000 0.7548
Mn: 0.5000 0.5000 0.2452
Mn: 0.5000 0.5000 0.7548
Tc: 0.0000 0.5000 0.0000
Tc: 0.5000 0.0000 0.0000
W: 0.0000 0.5000 0.5000
W: 0.5000 0.0000 0.5000

Properties
The value obtained for the density of states at the Fermi level is 1.033 states/eV per atom.

Tell me which of them is the most stable. Sure, it is *1*.

*1*
## Mn2TcW (PBE)

Data for a relaxed Mn2TcW crystal.

a = 2.6432 Å, b = 4.1009 Å, c = 5.1728 Å
α = 90.00°, β = 102.84°, γ = 90.00°
Atoms (fractional coordinates):
Mn: 0.2425 0.0000 0.2470
Mn: 0.7575 0.0000 0.7530
Tc: 0.5000 0.5000 0.0000
W: 0.0000 0.5000 0.5000

Properties
The value obtained for the density of states at the Fermi level is 0.976 states/eV per atom.

*2*
## Mn2TcW (PBE)

Data for a relaxed Mn2TcW crystal.

a = 4.1649 Å, b = 3.0688 Å, c = 4.2588 Å
α = 90.00°, β = 90.45°, γ = 90.00°
Atoms (fractional coordinates):
Mn: 0.0000 0.0000 0.0000
Mn: 0.0000 0.5000 0.5000
Tc: 0.5000 0.0000 0.5000
W: 0.5000 0.5000 0.0000

Properties
The value obtained for the density of states at the Fermi level is 0.787 states/eV per atom.

*3*
## Mn2TcW (PBE)

Data for a relaxed Mn2TcW crystal.

a = 6.7044 Å, b = 6.7044 Å, c = 5.2227 Å
α = 90.00°, β = 90.00°, γ = 90.00°
Atoms (fractional coordinates):
Mn: 0.2440 0.2500 0.1250
Mn: 0.2500 0.7440 0.3750
Mn: 0.2500 0.7560 0.8750
Mn: 0.2560 0.2500 0.6250
Mn: 0.7440 0.7500 0.6250
Mn: 0.7500 0.2440 0.8750
Mn: 0.7500 0.2560 0.3750
Mn: 0.7560 0.7500 0.1250
Tc: 0.0000 0.0000 0.0000
Tc: 0.0000 0.5000 0.2500
Tc: 0.5000 0.0000 0.7500
Tc: 0.5000 0.5000 0.5000
W: 0.0000 0.0000 0.5000
W: 0.0000 0.5000 0.7500
W: 0.5000 0.0000 0.2500
W: 0.5000 0.5000 0.0000

Properties
The value obtained for the density of states at the Fermi level is 0.907 states/eV per atom.

*4*
## Mn2TcW (PBE)

Data for a relaxed Mn2TcW crystal.

a = 3.0535 Å, b = 3.0535 Å, c = 5.8348 Å
α = 90.00°, β = 90.00°, γ = 90.00°
Atoms (fractional coordinates):
Mn: 0.0000 0.0000 0.0000
Mn: 0.5000 0.5000 0.2387
Tc: 0.0000 0.0000 0.4859
W: 0.5000 0.5000 0.7617

Properties
The value obtained for the density of states at the Fermi level is 0.931 states/eV per atom.

Tell me which of them is the most stable. Sure, it is *2*.